No. 1
Entry from the Alexandria database: a crystal of NaCo3Pb relaxed with PBEsol (meta-GGA SCAN).

**ΔE_f**: 1.674 eV/atom
**SG**: No. 221

The structure in POSCAR format:
```
NaCo3Pb
1.0
4.3818 0.0000 0.0000
0.0000 4.3818 0.0000
0.0000 0.0000 4.3818
Pb Na Co
1 1 3
direct
0.5000 0.5000 0.5000
0.0000 0.0000 0.0000
0.0000 0.5000 0.0000
0.0000 0.0000 0.5000
0.5000 0.0000 0.0000
```

No. 2
Entry from the Alexandria database: a crystal of Re3SiGe relaxed with PBEsol (meta-GGA SCAN).

**Raw total energy**: -1.7249 hartree per atom
**SG**: No. 221

The structure in POSCAR format:
```
Re3SiGe
1.0
-3.0570 2.7284 -1.5520
-1.2853 -3.0645 -2.8557
-2.8637 -1.5371 2.9384
Re Ge Si
3 1 1
direct
0.0000 0.5000 0.0000
0.0000 0.0000 0.5000
0.5000 0.0000 0.0000
0.5000 0.5000 0.5000
0.0000 0.0000 0.0000
```

No. 3
Entry from the Alexandria database: a crystal of DyRe2SiC relaxed with PBEsol (meta-GGA SCAN).

**Raw total energy**: -1.5632 hartree per atom
**SG**: No. 63

The structure in POSCAR format:
```
DyRe2SiC
1.0
-3.3596 1.2638 1.5581
-0.6427 -5.3846 -1.9319
2.0270 -2.5529 6.4412
Re Si C Dy
4 2 2 2
direct
0.1738 0.3476 0.4380
0.8262 0.6524 0.5619
0.8262 0.6524 0.9380
0.1738 0.3476 0.0620
0.7358 0.4716 0.2500
0.2642 0.5284 0.7500
0.0000 0.0000 0.5000
0.0000 0.0000 0.0000
0.4575 0.9150 0.2500
0.5425 0.0850 0.7500
```

No. 4
Entry from the Alexandria database: a crystal of Ca2NbPRu relaxed with PBEsol (meta-GGA SCAN).

**ΔE_f**: 1.059 eV/atom
**SG**: No. 123

The structure in POSCAR format:
```
Ca2NbPRu
1.0
-3.0626 -2.7016 -1.8456
-0.7515 -2.4623 4.8514
-3.9386 3.6248 1.2296
Ru Nb Ca P
1 1 2 1
direct
0.5000 0.0000 0.0000
0.0000 0.0000 0.0000
0.0000 0.0000 0.5000
0.0000 0.5000 0.0000
0.5000 0.5000 0.5000
```

No. 5
Entry from the Alexandria database: a crystal of TeRh2Se relaxed with PBEsol (meta-GGA SCAN).

**Raw total energy**: -1.1597 hartree per atom
**SG**: No. 99

The structure in POSCAR format:
```
TeRh2Se
1.0
-3.4429 0.4582 0.1317
-0.3791 -3.2136 1.2687
0.5002 2.1500 5.5957
Te Rh Se
1 2 1
direct
0.5000 0.5000 0.8326
0.0000 0.0000 0.0019
0.5000 0.5000 0.2689
0.0000 0.0000 0.3966
```

No. 6
Entry from the Alexandria database: a crystal of Cd2Ag2Hg relaxed with PBEsol (meta-GGA SCAN).

**ΔE_f**: 0.025 eV/atom
**SG**: No. 127

The structure in POSCAR format:
```
Cd2Ag2Hg
1.0
3.1013 0.0000 0.0000
0.0000 8.3612 0.0000
0.0000 0.0000 8.3612
Hg Ag Cd
2 4 4
direct
0.0000 0.0000 0.0000
0.0000 0.5000 0.5000
0.5000 0.1226 0.6226
0.5000 0.6226 0.8774
0.5000 0.8774 0.3774
0.5000 0.3774 0.1226
0.0000 0.3266 0.8266
0.0000 0.8266 0.6734
0.0000 0.6734 0.1734
0.0000 0.1734 0.3266
```

Theoretical density (computed, g cm⁻³): 8.03; 13.02; 12.49; 3.75; 9.42; 9.82